This record from the Alexandria database describes Tl2CuAgCl5 after structural relaxation. The functional is PBE.

Volume = 28.06 Å³/atom
DOS(E_F) = 33.8 states/eV/cell
Formation energy (no corrections) = -6.323 eV per formula unit

```
data_Tl2CuAgCl5
_chemical_formula_sum 'Tl8 Cu4 Ag4 Cl20'
_symmetry_space_group_name_H-M 'C m c 21'
_symmetry_Int_Tables_number 36
_symmetry_space_group_name_Hall 'C 2c -2'
_cell_length_a 3.9611
_cell_length_b 19.9535
_cell_length_c 12.7808
_cell_angle_alpha 90.00
_cell_angle_beta 90.00
_cell_angle_gamma 90.00
loop_
_atom_site_label
_atom_site_fract_x
_atom_site_fract_y
_atom_site_fract_z
Tl1 0.0000 0.1198 0.0000
Tl2 0.0000 0.1195 0.3678
Cu1 0.0000 0.4396 0.1378
Ag1 0.0000 0.2154 0.7218
Cl1 0.0000 0.0348 0.7211
Cl2 0.0000 0.2847 0.3592
Cl3 0.0000 0.3270 0.0949
Cl4 0.0000 0.3499 0.6863
Cl5 0.0000 0.4938 0.9806
```